(1)
## NdVTe2 (PBE-GGA)

Data for crystalline NdVTe2 at its relaxed geometry.

Results
The formation energy (no corrections) comes out at -1.1 eV/f.u. The symmetry is R-3m. The volume is 30.93 Å³ per atom.

a b c (Å): 3.867 3.867 9.809
angles (deg): 78.63 78.63 60.00
Last column: magnetic moment on the atom in μB.
Element x y z (fractional)
Nd 0.000 0.000 0.000  0.14
V 0.500 0.500 0.500  2.04
Te 0.890 0.890 0.330  -0.12
Te 0.110 0.110 0.670  -0.12

---

(2)
## V2CuH (PBE-GGA)

Data for crystalline V2CuH at its relaxed geometry.

Results
The calculation puts the energy above the most stable polymorph in this dataset at 353 meV per atom. The symmetry is Fm-3m. The volume is 11.22 Å³ per atom.

a b c (Å): 3.989 3.989 3.989
angles (deg): 60.00 60.00 60.00
Element x y z (fractional)
V 0.250 0.250 0.250
H 0.000 0.000 0.000
Cu 0.500 0.500 0.500
V 0.750 0.750 0.750

---

(3)
## YNiI2N (PBE-GGA)

Data for crystalline YNiI2N at its relaxed geometry.

Results
The formation energy (no corrections) comes out at 4.0 eV/f.u. The calculation puts the energy above the most stable polymorph in this dataset at 701 meV per atom. The symmetry is P4/mmm. The volume is 26.85 Å³ per atom.

a b c (Å): 5.022 5.322 5.022
angles (deg): 90.00 90.00 90.00
Last column: magnetic moment on the atom in μB.
Element x y z (fractional)
Y 0.000 0.500 0.000  -0.20
N 0.500 0.500 0.500  1.28
I 0.500 0.000 0.000  0.07
I 0.000 0.000 0.500  0.06
Ni 0.000 0.000 0.000  0.04

---

(4)
## CrGe2W (PBE-GGA)

Data for crystalline CrGe2W at its relaxed geometry.

Results
For the energy relative to the elements, the calculation gives 0.656 eV per atom. The calculation puts the energy above the most stable polymorph in this dataset at 283 meV per atom. The symmetry is I-42d. The volume is 16.44 Å³ per atom.

a b c (Å): 6.874 6.874 5.601
angles (deg): 52.15 52.15 90.00
Last column: magnetic moment on the atom in μB.
Element x y z (fractional)
W 0.000 0.000 0.000  -0.24
Cr 0.500 0.500 0.000  2.65
W 0.750 0.250 0.500  -0.24
Cr 0.250 0.750 0.500  2.64
Ge 0.375 0.384 0.750  -0.04
Ge 0.875 0.866 0.750  -0.04
Ge 0.616 0.125 0.250  -0.04
Ge 0.134 0.625 0.250  -0.05

---

(5)
## Pr12Ho2Tm5 (PBE-GGA)

Data for crystalline Pr12Ho2Tm5 at its relaxed geometry.

Results
For the energy relative to the elements, the calculation gives 0.135 eV per atom. The calculation puts the energy above the most stable polymorph in this dataset at 34 meV per atom. The symmetry is C2/m. The volume is 34.84 Å³ per atom.

a b c (Å): 7.142 11.794 8.792
angles (deg): 70.68 90.00 107.63
Element x y z (fractional)
Pr 0.548 0.097 0.304
Ho 0.258 0.000 0.000
Tm 0.649 0.299 0.904
Tm 0.751 0.501 0.494
Tm 0.000 0.000 0.500
Pr 0.452 0.903 0.696
Tm 0.249 0.499 0.506
Pr 0.851 0.213 0.616
Pr 0.141 0.282 0.946
Pr 0.859 0.718 0.054
Pr 0.949 0.403 0.207
Ho 0.742 0.000 0.000
Pr 0.361 0.213 0.616
Pr 0.051 0.597 0.793
Pr 0.149 0.787 0.384
Pr 0.546 0.597 0.793
Pr 0.639 0.787 0.384
Tm 0.351 0.701 0.096
Pr 0.454 0.403 0.207

---

(6)
## SiPAu (PBE-GGA)

Data for crystalline SiPAu at its relaxed geometry.

Results
The formation energy (no corrections) comes out at -0.1 eV/f.u. The calculation puts the energy above the most stable polymorph in this dataset at 163 meV per atom. The symmetry is P-1. The volume is 20.52 Å³ per atom.

a b c (Å): 3.589 6.144 6.309
angles (deg): 99.72 73.69 73.31
Element x y z (fractional)
P 0.062 0.184 0.697
Au 0.224 0.394 0.151
Au 0.776 0.606 0.849
Si 0.330 0.053 0.286
Si 0.670 0.947 0.714
P 0.938 0.816 0.303

---

(7)
## Sr2ScTc (PBE-GGA)

Data for crystalline Sr2ScTc at its relaxed geometry.

Results
For the energy relative to the elements, the calculation gives 0.884 eV per atom. The calculation puts the energy above the most stable polymorph in this dataset at 623 meV per atom. The symmetry is R-3m. The volume is 29.59 Å³ per atom.

a b c (Å): 11.396 11.396 11.396
angles (deg): 17.62 17.62 17.62
Last column: magnetic moment on the atom in μB.
Element x y z (fractional)
Sr 0.513 0.513 0.513  0.01
Tc 0.250 0.250 0.250  0.96
Sr 0.987 0.987 0.987  0.01
Sc 0.750 0.750 0.750  0.47

---

(8)
## CeZrW4 (PBE-GGA)

Data for crystalline CeZrW4 at its relaxed geometry.

Results
For the energy relative to the elements, the calculation gives 0.112 eV per atom. The symmetry is F-43m. The volume is 19.59 Å³ per atom.

a b c (Å): 5.499 5.499 5.499
angles (deg): 60.00 60.00 60.00
Element x y z (fractional)
W 0.625 0.625 0.125
W 0.625 0.625 0.625
Ce 0.250 0.250 0.250
W 0.125 0.625 0.625
W 0.625 0.125 0.625
Zr 0.000 0.000 0.000

---

(9)
## TaV2Re (PBE-GGA)

Data for crystalline TaV2Re at its relaxed geometry.

Results
For the energy relative to the elements, the calculation gives -0.213 eV per atom. The calculation puts the energy above the most stable polymorph in this dataset at 1 meV per atom. The symmetry is Fm-3m. The volume is 14.79 Å³ per atom.

a b c (Å): 4.374 4.374 4.374
angles (deg): 60.00 60.00 60.00
Element x y z (fractional)
V 0.250 0.250 0.250
Re 0.000 0.000 0.000
Ta 0.500 0.500 0.500
V 0.750 0.750 0.750

---

(10)
## Ce5Os2Pt2 (PBE-GGA)

Data for crystalline Ce5Os2Pt2 at its relaxed geometry.

Results
For the energy relative to the elements, the calculation gives -0.570 eV per atom. The calculation puts the energy above the most stable polymorph in this dataset at 0 meV per atom. The symmetry is Cmce. The volume is 23.39 Å³ per atom.

a b c (Å): 7.565 7.542 8.291
angles (deg): 90.00 62.86 90.00
Last column: magnetic moment on the atom in μB.
Element x y z (fractional)
Os 0.634 0.133 0.000  -0.04
Ce 0.956 0.329 0.734  0.20
Pt 0.712 0.500 0.577  0.00
Ce 0.500 0.500 0.000  0.17
Pt 0.788 0.000 0.423  0.00
Pt 0.212 0.000 0.577  0.00
Ce 0.309 0.671 0.734  0.20
Os 0.866 0.633 0.000  -0.04
Ce 0.191 0.171 0.266  0.20
Ce 0.544 0.829 0.266  0.20
Os 0.134 0.367 0.000  -0.04
Ce 0.691 0.329 0.266  0.20
Ce 0.809 0.829 0.734  0.20
Ce 0.456 0.171 0.734  0.20
Ce 0.044 0.671 0.266  0.20
Pt 0.288 0.500 0.423  0.00
Os 0.366 0.867 0.000  -0.04
Ce 0.000 0.000 0.000  0.17

---

(11)
## CsLi3Ru (PBE-GGA)

Data for crystalline CsLi3Ru at its relaxed geometry.

Results
For the energy relative to the elements, the calculation gives 1.538 eV per atom. The calculation puts the energy above the most stable polymorph in this dataset at 892 meV per atom. The symmetry is Pm-3m. The volume is 24.47 Å³ per atom.

a b c (Å): 4.964 4.964 4.964
angles (deg): 90.00 90.00 90.00
Last column: magnetic moment on the atom in μB.
Element x y z (fractional)
Ru 0.500 0.500 0.500  1.66
Li 0.000 0.000 0.500  -0.03
Cs 0.000 0.000 0.000  -0.10
Li 0.500 0.000 0.000  -0.02
Li 0.000 0.500 0.000  -0.03